No. 1
The following is a DFT calculation (PBE) of crystalline Re3Pt at its relaxed geometry.

As for the electronic total energy: -29.4 eV for the cell shown. Its formation energy from the elements is 3.50 eV/atom.

The structure belongs to space group Pm-3m (No. 221); the cell edges are 4.806, 4.806 and 4.806 Å and the angles 90.00°, 90.00° and 90.00°. The inequivalent atoms are Re at (0.000, 0.000, 0.500) and Pt at (0.000, 0.000, 0.000).



No. 2
The following is a DFT calculation (PBE) of crystalline Re6Pt7 at its relaxed geometry.

As for the electronic total energy: -334.7 eV for the cell shown. Its formation energy from the elements is 0.42 eV/atom.

The structure belongs to space group R-3m (No. 166, hexagonal axes); the cell edges are 5.1597, 5.1597 and 26.6792 Å and the angles 90.00°, 90.00° and 120.00°. The inequivalent atoms are Re at (0.0000, 0.0000, 0.0455), Re at (0.0000, 0.0000, 0.1493), Re at (0.0000, 0.0000, 0.3333), Pt at (0.0000, 0.0000, 0.5000) and Pt at (0.0037, 0.5018, 0.9152).



No. 3
The following is a DFT calculation (PBE) of crystalline Re3Pt2 at its relaxed geometry.

As for the electronic total energy: -393.0 eV for the cell shown. Its formation energy from the elements is 0.06 eV/atom.

The structure belongs to space group Fdd2 (No. 43); the cell edges are 9.446, 13.407 and 4.859 Å and the angles 90.00°, 90.00° and 90.00°. The inequivalent atoms are Re at (0.000, 0.000, 0.000), Re at (0.042, 0.099, 0.441) and Pt at (0.035, 0.203, 0.937).



No. 4
The following is a DFT calculation (PBE) of crystalline RePt2 at its relaxed geometry.

As for the electronic total energy: -73.5 eV for the cell shown. Its formation energy from the elements is 0.01 eV/atom.

The structure belongs to space group P-62m (No. 189); the cell edges are 7.6329, 7.6329 and 2.7568 Å and the angles 90.00°, 90.00° and 120.00°. The inequivalent atoms are Re at (0.0000, 0.0000, 0.0000), Re at (0.3333, 0.6667, 0.5000), Pt at (0.0000, 0.2991, 0.5000) and Pt at (0.0000, 0.6311, 0.0000).



No. 5
The following is a DFT calculation (PBE) of crystalline RePt2 at its relaxed geometry.

As for the electronic total energy: -182.5 eV for the cell shown. Its formation energy from the elements is 0.57 eV/atom.

The structure belongs to space group Fd-3m (No. 227, origin choice 2); the cell edges are 7.274, 7.274 and 7.274 Å and the angles 90.00°, 90.00° and 90.00°. The inequivalent atoms are Re at (0.125, 0.125, 0.125) and Pt at (0.000, 0.000, 0.500).



No. 6
The following is a DFT calculation (PBE) of crystalline Re3Pt at its relaxed geometry.

As for the electronic total energy: -88.7 eV for the cell shown. Its formation energy from the elements is -0.24 eV/atom.

The structure belongs to space group P6_3/mmc (No. 194); the cell edges are 5.5917, 5.5917 and 4.4256 Å and the angles 90.00°, 90.00° and 120.00°. The inequivalent atoms are Re at (0.1590, 0.3179, 0.2500) and Pt at (0.3333, 0.6667, 0.7500).



No. 7
The following is a DFT calculation (PBE) of crystalline RePt at its relaxed geometry.

As for the electronic total energy: -74.0 eV for the cell shown. Its formation energy from the elements is 0.00 eV/atom.

The structure belongs to space group Cmcm (No. 63); the cell edges are 2.673, 10.586 and 4.303 Å and the angles 90.00°, 90.00° and 90.00°. The inequivalent atoms are Re at (0.000, 0.179, 0.250) and Pt at (0.000, 0.429, 0.250).



No. 8
The following is a DFT calculation (PBE) of crystalline Re3Pt at its relaxed geometry.

As for the electronic total energy: -43.5 eV for the cell shown. Its formation energy from the elements is -0.03 eV/atom.

The structure belongs to space group Pmmm (No. 47); the cell edges are 2.758, 3.967 and 5.558 Å and the angles 90.00°, 90.00° and 90.00°. The inequivalent atoms are Re at (0.000, 0.000, 0.000), Re at (0.500, 0.500, 0.233) and Pt at (0.000, 0.000, 0.500).